Run P
LaHfTe3: relaxed, PBE-GGA.

Geometry as POSCAR:
```
LaHfTe3
1.0
6.0010 0.0000 0.0000
0.0000 6.0010 0.0000
0.0000 0.0000 6.0010
Te La Hf
3 1 1
Direct
0.5000 0.0000 0.0000
0.0000 0.5000 0.0000
0.0000 0.0000 0.5000
0.0000 0.0000 0.0000
0.5000 0.5000 0.5000
```

The size of the total moment comes out at 0.000 μB/f.u.


Run Q
LaHfTe3: relaxed, PBE-GGA.

Geometry as POSCAR:
```
LaHfTe3
1.0
-0.3567 -4.7018 2.8826
4.1521 1.6723 3.2415
-3.6300 2.3749 3.4245
Te La Hf
3 1 1
Direct
0.0000 0.0000 0.5000
0.5000 0.0000 0.0000
0.0000 0.5000 0.0000
0.5000 0.5000 0.5000
0.0000 0.0000 0.0000
```

The size of the total moment comes out at 0.000 μB/f.u.


The structure with the greatest stability is run Q.


Run P
LaHfTh: relaxed, PBE-GGA.

Geometry as POSCAR:
```
LaHfTh
1.0
3.3653 0.0000 0.0000
0.0000 11.1281 0.5126
-1.6826 -0.4689 9.5759
La Hf Th
4 4 4
Direct
0.7965 0.8785 0.5930
0.2132 0.6276 0.4264
0.2035 0.1215 0.4070
0.7868 0.3724 0.5736
0.1079 0.3711 0.2158
0.6245 0.8866 0.2489
0.3755 0.1134 0.7511
0.8921 0.6289 0.7842
0.5419 0.1325 0.0837
0.5501 0.6218 0.1002
0.4499 0.3782 0.8998
0.4581 0.8675 0.9163
```

The size of the total moment comes out at 0.000 μB/f.u.


Run Q
LaHfTh: relaxed, PBE-GGA.

Geometry as POSCAR:
```
LaHfTh
1.0
-1.1564 -2.3021 -2.3234
-2.6766 -2.6728 3.9805
-2.4994 4.0380 -2.7568
Th Hf La
1 1 1
Direct
0.1589 0.0000 0.0000
0.1771 0.3333 0.6667
0.6640 0.6667 0.3333
```

The size of the total moment comes out at 0.000 μB/f.u.


Run R
LaHfTh: relaxed, PBE-GGA.

Geometry as POSCAR:
```
LaHfTh
1.0
3.4322 0.0000 0.0000
0.0000 3.4322 0.0000
-1.7161 -1.7161 7.5524
Th Hf La
1 1 1
Direct
0.3226 0.3226 0.6451
0.6717 0.6717 0.3434
0.0057 0.0057 0.0115
```

The size of the total moment comes out at 0.000 μB/f.u.


The structure with the greatest stability is run R.


Run P
La3HfTi: relaxed, PBE-GGA.

Geometry as POSCAR:
```
La3HfTi
1.0
-1.7117 -5.1497 0.7003
4.7367 -1.8492 -2.0209
2.1387 -0.0260 5.0364
La Ti Hf
3 1 1
Direct
0.0000 0.0000 0.5000
0.5000 0.0000 0.0000
0.0000 0.5000 0.0000
0.0000 0.0000 0.0000
0.5000 0.5000 0.5000
```

The size of the total moment comes out at 0.055 μB/f.u.


Run Q
La3HfTi: relaxed, PBE-GGA.

Geometry as POSCAR:
```
La3HfTi
1.0
5.7134 0.0000 0.0000
0.0000 5.7134 0.0000
0.0000 0.0000 5.7134
La Ti Hf
3 1 1
Direct
0.0000 0.5000 0.0000
0.0000 0.0000 0.5000
0.5000 0.0000 0.0000
0.5000 0.5000 0.5000
0.0000 0.0000 0.0000
```

The size of the total moment comes out at 0.149 μB/f.u.


The structure with the greatest stability is run P.


Run P
La2HfTi: relaxed, PBE-GGA.

Geometry as POSCAR:
```
La2HfTi
1.0
-7.2016 3.7765 2.3786
-4.4217 -5.4228 -4.7776
-6.0349 -2.7724 1.2196
Hf La Ti
2 4 2
Direct
0.0000 0.0000 0.0000
0.7500 0.2500 0.5000
0.6093 0.1250 0.2500
0.1407 0.6250 0.2500
0.3750 0.3907 0.7500
0.8750 0.8593 0.7500
0.2500 0.7500 0.5000
0.5000 0.5000 0.0000
```

The size of the total moment comes out at 1.950 μB/f.u.


Run Q
La2HfTi: relaxed, PBE-GGA.

Geometry as POSCAR:
```
La2HfTi
1.0
0.0000 3.7819 3.7819
3.7819 0.0000 3.7819
3.7819 3.7819 0.0000
Hf La Ti
1 2 1
Direct
0.5000 0.5000 0.5000
0.7500 0.7500 0.7500
0.2500 0.2500 0.2500
0.0000 0.0000 0.0000
```

The size of the total moment comes out at 0.476 μB/f.u.


The structure with the greatest stability is run Q.


Run P
LaHf2Ti: relaxed, PBE-GGA.

Geometry as POSCAR:
```
LaHf2Ti
1.0
4.3514 0.0000 0.0000
0.0000 4.3514 0.0000
2.1757 2.1757 10.4437
Hf La Ti
4 2 2
Direct
0.1359 0.1250 0.2500
0.3750 0.8641 0.7500
0.6141 0.6250 0.2500
0.8750 0.3859 0.7500
0.7500 0.2500 0.5000
0.0000 0.0000 0.0000
0.2500 0.7500 0.5000
0.5000 0.5000 0.0000
```

The size of the total moment comes out at 0.000 μB/f.u.


Run Q
LaHf2Ti: relaxed, PBE-GGA.

Geometry as POSCAR:
```
LaHf2Ti
1.0
3.1404 0.0000 0.0000
1.5702 2.7197 0.0000
1.5702 0.9066 11.0568
Ti Hf La
1 2 1
Direct
0.5000 0.5000 0.5000
0.0958 0.0958 0.7125
0.9042 0.9042 0.2875
0.0000 0.0000 0.0000
```

The size of the total moment comes out at 0.000 μB/f.u.


The structure with the greatest stability is run Q.


Run P
LaHfTl3: relaxed, PBE-GGA.

Geometry as POSCAR:
```
LaHfTl3
1.0
5.4983 0.0000 0.0000
0.0000 5.4983 0.0000
0.0000 0.0000 5.4983
Tl Hf La
3 1 1
Direct
0.5000 0.0000 0.0000
0.0000 0.0000 0.5000
0.0000 0.5000 0.0000
0.0000 0.0000 0.0000
0.5000 0.5000 0.5000
```

The size of the total moment comes out at 0.000 μB/f.u.


Run Q
LaHfTl3: relaxed, PBE-GGA.

Geometry as POSCAR:
```
LaHfTl3
1.0
5.8995 0.0000 0.0000
0.0000 5.8995 0.0000
0.0000 0.0000 5.8995
La Hf Tl
1 1 3
Direct
0.0000 0.0000 0.0000
0.5000 0.5000 0.5000
0.0000 0.5000 0.0000
0.0000 0.0000 0.5000
0.5000 0.0000 0.0000
```

The size of the total moment comes out at 0.000 μB/f.u.


The structure with the greatest stability is run P.


Run P
LaHfTl2: relaxed, PBE-GGA.

Geometry as POSCAR:
```
LaHfTl2
1.0
-0.5429 -4.8549 -1.1275
4.6897 -0.8816 1.5382
-1.3599 -4.6748 9.6374
Tl Hf La
4 2 2
Direct
0.8750 0.9412 0.7500
0.3750 0.3088 0.7500
0.0588 0.6250 0.2500
0.6912 0.1250 0.2500
0.7500 0.2500 0.5000
0.0000 0.0000 0.0000
0.5000 0.5000 0.0000
0.2500 0.7500 0.5000
```

The size of the total moment comes out at 0.000 μB/f.u.


Run Q
LaHfTl2: relaxed, PBE-GGA.

Geometry as POSCAR:
```
LaHfTl2
1.0
4.7833 -0.9491 -2.1789
2.0778 -4.9180 0.1571
0.3692 -2.8875 -4.4783
Tl Hf La
2 1 1
Direct
0.2500 0.2500 0.2500
0.7500 0.7500 0.7500
0.5000 0.5000 0.5000
0.0000 0.0000 0.0000
```

The size of the total moment comes out at 0.000 μB/f.u.


Run R
LaHfTl2: relaxed, PBE-GGA.

Geometry as POSCAR:
```
LaHfTl2
1.0
-0.7337 2.7803 1.8030
1.7932 -1.2198 2.6106
7.4114 4.0346 -3.2056
Tl La Hf
2 1 1
Direct
0.0000 0.0000 0.7720
0.0000 0.0000 0.2280
0.5000 0.5000 0.5000
0.5000 0.5000 0.0000
```

The size of the total moment comes out at 0.000 μB/f.u.


The structure with the greatest stability is run R.


Run P
LaHf3Tl: relaxed, PBE-GGA.

Geometry as POSCAR:
```
LaHf3Tl
1.0
-5.0806 -0.2170 -1.0722
1.0306 -2.6583 -4.3453
-0.3670 -4.4605 2.6417
Tl La Hf
1 1 3
Direct
0.5000 0.5000 0.5000
0.0000 0.0000 0.0000
0.5000 0.0000 0.0000
0.0000 0.5000 0.0000
0.0000 0.0000 0.5000
```

The size of the total moment comes out at 0.000 μB/f.u.


Run Q
LaHf3Tl: relaxed, PBE-GGA.

Geometry as POSCAR:
```
LaHf3Tl
1.0
5.3922 0.0000 0.0000
0.0000 5.3922 0.0000
0.0000 0.0000 5.3922
Tl Hf La
1 3 1
Direct
0.0000 0.0000 0.0000
0.5000 0.0000 0.0000
0.0000 0.5000 0.0000
0.0000 0.0000 0.5000
0.5000 0.5000 0.5000
```

The size of the total moment comes out at 3.256 μB/f.u.


The structure with the greatest stability is run Q.


Run P
La2TmHf: relaxed, PBE-GGA.

Geometry as POSCAR:
```
La2TmHf
1.0
-2.4492 3.2143 -0.3715
-2.1240 -1.9485 -2.8567
-4.4708 -2.8016 5.2351
La Hf Tm
2 1 1
Direct
0.0000 0.0000 0.7708
0.0000 0.0000 0.2292
0.5000 0.5000 0.0000
0.5000 0.5000 0.5000
```

The size of the total moment comes out at 0.000 μB/f.u.


Run Q
La2TmHf: relaxed, PBE-GGA.

Geometry as POSCAR:
```
La2TmHf
1.0
-2.1432 -2.5987 -0.1949
0.4261 -2.6911 1.9903
-7.6626 3.4426 9.1551
La Tm Hf
2 1 1
Direct
0.0835 0.0835 0.7494
0.9165 0.9165 0.2506
0.5000 0.5000 0.5000
0.0000 0.0000 0.0000
```

The size of the total moment comes out at 0.000 μB/f.u.


Run R
La2TmHf: relaxed, PBE-GGA.

Geometry as POSCAR:
```
La2TmHf
1.0
4.8096 0.0000 0.0000
0.0000 5.0248 0.0000
0.0000 0.0000 5.0248
La Tm Hf
2 1 1
Direct
0.0000 0.5000 0.0000
0.0000 0.0000 0.5000
0.5000 0.5000 0.5000
0.5000 0.0000 0.0000
```

The size of the total moment comes out at 0.000 μB/f.u.


The structure with the greatest stability is run R.


Run P
LaTm2Hf: relaxed, PBE-GGA.

Geometry as POSCAR:
```
LaTm2Hf
1.0
-0.5058 -2.7622 4.0276
3.2062 -3.1783 -1.7770
3.6069 2.4470 2.1311
Tm Hf La
2 1 1
Direct
0.0000 0.5000 0.0000
0.0000 0.0000 0.5000
0.5000 0.0000 0.0000
0.5000 0.5000 0.5000
```

The size of the total moment comes out at 0.000 μB/f.u.


Run Q
LaTm2Hf: relaxed, PBE-GGA.

Geometry as POSCAR:
```
LaTm2Hf
1.0
3.4314 0.0000 0.0000
1.7157 2.9717 0.0000
1.7157 0.9906 11.3750
Tm Hf La
2 1 1
Direct
0.0754 0.0754 0.7739
0.2578 0.2578 0.2266
0.6663 0.6663 0.0012
0.5006 0.5006 0.4983
```

The size of the total moment comes out at 0.000 μB/f.u.


The structure with the greatest stability is run Q.


Run P
La2Hf2V: relaxed, PBE-GGA.

Geometry as POSCAR:
```
La2Hf2V
1.0
-3.8301 4.1247 -4.2549
3.6617 -2.3361 -5.5607
-3.5754 -4.0106 -0.6695
V La Hf
2 4 4
Direct
0.5000 0.5000 0.0000
0.0000 0.0000 0.0000
0.3308 0.1692 0.5000
0.6692 0.8308 0.5000
0.1692 0.6692 0.5000
0.8308 0.3308 0.5000
0.6508 0.1508 0.0000
0.8492 0.6508 0.0000
0.1508 0.3492 0.0000
0.3492 0.8492 0.0000
```

The size of the total moment comes out at 2.748 μB/f.u.


Run Q
La2Hf2V: relaxed, PBE-GGA.

Geometry as POSCAR:
```
La2Hf2V
1.0
4.0175 0.0000 0.0000
0.0000 4.0175 0.0000
2.0087 2.0087 8.2189
V Hf La
1 2 2
Direct
0.0000 0.0000 0.0000
0.5808 0.5808 0.8385
0.4192 0.4192 0.1615
0.2500 0.7500 0.5000
0.7500 0.2500 0.5000
```

The size of the total moment comes out at 1.551 μB/f.u.


The structure with the greatest stability is run P.


Run P
La2HfW: relaxed, PBE-GGA.

Geometry as POSCAR:
```
La2HfW
1.0
0.0000 3.7037 3.7037
3.7037 0.0000 3.7037
3.7037 3.7037 0.0000
W La Hf
1 2 1
Direct
0.5000 0.5000 0.5000
0.2500 0.2500 0.2500
0.7500 0.7500 0.7500
0.0000 0.0000 0.0000
```

The size of the total moment comes out at 0.011 μB/f.u.


Run Q
La2HfW: relaxed, PBE-GGA.

Geometry as POSCAR:
```
La2HfW
1.0
-2.3710 8.3081 0.1169
-7.4849 -2.0829 -3.7811
-6.1593 2.7239 0.8195
Hf W La
2 2 4
Direct
0.5000 0.5000 0.0000
0.2500 0.7500 0.5000
0.0000 0.0000 0.0000
0.7500 0.2500 0.5000
0.3750 0.3225 0.7500
0.6775 0.1250 0.2500
0.8750 0.9275 0.7500
0.0725 0.6250 0.2500
```

The size of the total moment comes out at 0.000 μB/f.u.


The structure with the greatest stability is run P.